# 1
Computed, not measured: a relaxed structure of TcAuS2 at the PBE-GGA level of DFT.

Summary:
The crystal system is tetragonal. Its energy above the most stable polymorph in this dataset is 21.4 kJ per mole of atoms. The calculation puts the uncorrected formation energy at 7 meV per atom.

extended XYZ file:
```
8
Lattice="-0.8020 4.8627 2.4335 -2.6129 1.8126 -4.4831 -6.4672 1.5300 1.0185" Properties=species:S:1:pos:R:3 pbc="T T T"
S -2.4137 3.4604 1.1212
S -3.3811 2.3110 -2.1491
S -6.2320 3.7208 -0.1779
S -7.7375 6.9184 -0.8563
Au 0.0000 0.0000 0.0000
Au -4.4883 4.8652 1.2136
Tc -1.7075 3.3376 -1.0248
Tc -5.3938 3.3401 -2.2447
```

---

# 2
Computed, not measured: a relaxed structure of Pa2CuSi at the PBE-GGA level of DFT.

Summary:
The crystal system is tetragonal. Its energy above the most stable polymorph in this dataset is 11.1 kJ per mole of atoms. The calculation puts the uncorrected formation energy at -99 meV per atom.

extended XYZ file:
```
4
Lattice="-1.2975 2.0759 -2.6880 -3.3861 -1.0131 0.8520 -0.4453 4.7614 3.8920" Properties=species:S:1:pos:R:3 pbc="T T T"
Si -2.5644 2.9121 1.0280
Pa -0.3308 3.5370 2.8912
Pa -0.1145 1.2243 1.0008
Cu -2.3418 0.5314 -0.9180
```

---

# 3
Computed, not measured: a relaxed structure of Rb2AsCl2F4 at the PBE-GGA level of DFT.

Summary:
The crystal system is tetragonal. The calculation puts the uncorrected formation energy at -2023 meV per atom.

extended XYZ file:
```
9
Lattice="6.4033 -0.0865 -0.1365 -2.6513 5.8292 0.1365 -2.6513 -2.3648 5.3298" Properties=species:S:1:pos:R:3 pbc="T T T"
Rb 0.5503 3.7375 1.3666
Rb 0.5503 -0.3595 3.9632
As 0.0000 0.0000 0.0000
Cl -3.7842 2.4724 3.9009
Cl -1.5185 0.9921 1.5654
F -2.6513 4.1999 1.1692
F -0.3915 2.7234 4.2971
F -2.6513 -0.7354 4.2971
F 1.4921 0.6545 1.0327
```

---

# 4
Computed, not measured: a relaxed structure of MnFeGeW at the PBE-GGA level of DFT.

Summary:
The crystal system is cubic. As for the energy of formation: 0.062 eV/atom.

extended XYZ file:
```
4
Lattice="4.1596 0.0000 0.0000 2.0798 3.6023 0.0000 2.0798 1.2008 3.3963" Properties=species:S:1:pos:R:3 pbc="T T T"
Ge 4.1596 2.4016 1.6982
Mn 2.0798 1.2008 0.8491
Fe 6.2394 3.6023 2.5472
W 0.0000 0.0000 0.0000
```

---

# 5
Computed, not measured: a relaxed structure of LaSc2BiC at the PBE-GGA level of DFT.

Summary:
The crystal system is tetragonal. As for the energy of formation: -0.519 eV/atom.

extended XYZ file:
```
5
Lattice="4.6650 0.0000 0.0000 0.0000 4.6650 0.0000 0.0000 0.0000 5.2484" Properties=species:S:1:pos:R:3 pbc="T T T"
Sc 0.0000 2.3325 0.0000
Sc 2.3325 0.0000 0.0000
C 0.0000 0.0000 0.0000
Bi 2.3325 2.3325 2.6242
La 0.0000 0.0000 2.6242
```

---

# 6
Computed, not measured: a relaxed structure of SnWCl2 at the PBE-GGA level of DFT.

Summary:
The crystal system is trigonal. Its energy above the most stable polymorph in this dataset is 8.9 kJ per mole of atoms. The calculation puts the uncorrected formation energy at 111 meV per atom.

extended XYZ file:
```
4
Lattice="1.8144 0.0000 9.6905 -0.9072 1.5713 9.6905 -0.9072 -1.5713 9.6905" Properties=species:S:1:pos:R:3 pbc="T T T"
Sn 0.0000 0.0000 14.5358
W 0.0000 0.0000 0.0000
Cl 0.0000 0.0000 26.7602
Cl 0.0000 0.0000 2.3114
```